## HgGe2As (PBE)

Data for HgGe2As after structural relaxation.

Properties
Formation energy from the elements: 5.9 kcal/mol of atoms
Size of the total moment: 0.00 μB per formula unit
E: -3.291 eV/atom
Space-group type: R-3m (166)

```
HgGe2As
1.0
-2.772 -1.046 -2.183
-1.523 -3.323 0.424
-7.109 1.864 5.031
Ge As Hg
2 1 1
Cartesian
-6.102 -3.312 0.028 Ge
-5.302 0.807 3.243 Ge
-5.702 -1.252 1.636 As
0.000 0.000 0.000 Hg
```